LaDy5Er5 | PBE-GGA | optimized geometry

Results
Energy = -4.301 eV per atom

abc: 6.0554 6.0554 11.5944
angles: 90.00 90.00 120.00
With the nearest neighbours (Å) after each atom.
Space group P-6m2 (No. 187)
Unique sites:
La 0.0000 0.0000 0.0000 (multiplicity 1)  5 Dy 3.50-3.81
Dy 0.0000 0.0000 0.3285 (multiplicity 2)  9 Er 3.57-3.62, 1 La 3.81, 1 Dy 3.98
Dy 0.3333 0.6667 0.1584 (multiplicity 2)  7 Dy 3.67-4.01, 3 Er 3.71, 3 La 3.95
Dy 0.6667 0.3333 0.0000 (multiplicity 1)  2 Er 3.07
Er 0.0004 0.5002 0.5000 (multiplicity 3)  6 Er 3.02-3.24
Er 0.6667 0.3333 0.2648 (multiplicity 2)  1 Dy 3.07, 3 Er 3.24


La2Dy2Er | PBE-GGA | optimized geometry

Results
Energy = -4.696 eV per atom

abc: 15.9518 6.3937 6.8424
angles: 90.00 103.90 90.00
With the nearest neighbours (Å) after each atom.
Space group C2/c (No. 15)
Unique sites:
La 0.1985 0.0864 0.1514 (multiplicity 8)  2 Er 3.56-3.66, 5 La 3.59-3.70, 5 Dy 3.60-3.73
Dy 0.0958 0.4172 0.4506 (multiplicity 8)  4 Dy 3.45-3.58, 3 Er 3.54-3.67, 5 La 3.60-3.73
Er 0.0000 0.0844 0.7500 (multiplicity 4)  6 Dy 3.54-3.67, 4 La 3.56-3.66, 2 Er 3.59


LaDy5Er | PBE-GGA | optimized geometry

Results
Energy = -4.445 eV per atom

abc: 11.7370 6.8032 12.2236
angles: 90.00 110.67 90.00
With the nearest neighbours (Å) after each atom.
Space group C2/c (No. 15)
Unique sites:
La 0.0000 0.0296 0.2500 (multiplicity 4)  3 Dy 2.96-3.32
Dy 0.0000 0.4062 0.7500 (multiplicity 4)  1 La 2.96, 2 Dy 3.00
Dy 0.0802 0.2750 0.5002 (multiplicity 8)  4 Dy 3.31-3.61, 1 La 3.32
Dy 0.2191 0.3695 0.2467 (multiplicity 8)  2 Dy 3.00-3.31, 1 Er 3.26
Er 0.2500 0.2500 0.0000 (multiplicity 4)  4 Dy 3.26-3.57


La2Dy3Er7 | PBE-GGA | optimized geometry

Results
Energy = -4.544 eV per atom

abc: 6.3317 3.5082 17.4338
angles: 90.00 96.18 90.00
With the nearest neighbours (Å) after each atom.
Space group P2/m (No. 10)
Unique sites:
La 0.0581 0.0000 0.1737 (multiplicity 2)  5 Er 3.41-3.52, 2 La 3.51, 4 Dy 3.59-3.67
Dy 0.4537 0.5000 0.8427 (multiplicity 2)  2 Dy 3.51, 7 Er 3.58-3.75, 4 La 3.59-3.67
Dy 0.5000 0.0000 0.5000 (multiplicity 1)  10 Er 3.48-3.62, 2 Dy 3.51
Er 0.0000 0.5000 0.5000 (multiplicity 1)  8 Er 3.47-3.54, 4 Dy 3.62
Er 0.2287 0.0000 0.6648 (multiplicity 2)  3 Dy 3.50-3.71, 8 Er 3.51-3.64, 1 La 3.51
Er 0.2566 0.0000 0.9992 (multiplicity 2)  2 Er 3.08-3.25, 2 La 3.41-3.43
Er 0.2769 0.5000 0.3386 (multiplicity 2)  7 Er 3.47-3.64, 3 Dy 3.48-3.75, 2 La 3.52


La4Dy11Er9 | PBE-GGA | optimized geometry

Results
Energy = -4.565 eV per atom

abc: 16.7323 25.0541 3.6952
angles: 90.00 90.00 90.00
With the nearest neighbours (Å) after each atom.
Space group Cmmm (No. 65)
Unique sites:
La 0.1540 0.0999 0.0000 (multiplicity 8)  6 Dy 3.28-3.41, 3 Er 3.55-3.59
Dy 0.0000 0.1376 0.5000 (multiplicity 4)  4 La 3.31, 4 Er 3.53, 2 Dy 3.70
Dy 0.0000 0.3411 0.5000 (multiplicity 4)  8 Er 3.62-3.65, 5 Dy 3.70-3.98
Dy 0.0000 0.5000 0.5000 (multiplicity 2)  8 Er 3.47, 2 Dy 3.70
Dy 0.2168 0.0000 0.5000 (multiplicity 4)  4 La 3.28, 4 Er 3.56
Dy 0.2254 0.3186 0.5000 (multiplicity 8)  2 La 3.41, 6 Er 3.45-3.71, 4 Dy 3.53-3.81
Er 0.0000 0.0000 0.0000 (multiplicity 2)  4 La 3.59, 2 Er 3.70, 4 Dy 3.91
Er 0.1011 0.2371 0.0000 (multiplicity 8)  3 Er 3.38-3.70, 8 Dy 3.45-3.71, 1 La 3.55
Er 0.1374 0.4272 0.0000 (multiplicity 8)  8 Dy 3.47-3.65, 1 La 3.55, 3 Er 3.65-3.70


LaDy3Er5 | PBE-GGA | optimized geometry

Results
Energy = -4.200 eV per atom

abc: 16.9102 7.9475 12.1573
angles: 90.00 130.66 90.00
With the nearest neighbours (Å) after each atom.
Space group C2/m (No. 12)
Unique sites:
La 0.2378 0.0000 0.1372 (multiplicity 4)  2 Dy 3.20-3.39, 1 Er 3.31
Dy 0.0000 0.0000 0.0000 (multiplicity 2)  2 Er 2.56
Dy 0.0000 0.5000 0.5000 (multiplicity 2)  4 Er 3.67, 2 La 3.69, 2 Dy 3.87
Dy 0.1200 0.5000 0.3166 (multiplicity 4)  5 Er 3.28-3.60, 1 Dy 3.29
Dy 0.1664 0.0000 0.3405 (multiplicity 4)  2 Dy 3.14-3.29, 1 Er 3.30, 1 La 3.39
Er 0.0000 0.3217 0.0000 (multiplicity 4)  1 Dy 2.56, 1 Er 2.83
Er 0.0651 0.2060 0.7810 (multiplicity 8)  5 Er 3.27-3.63, 2 Dy 3.44-3.56, 1 La 3.64
Er 0.1223 0.0000 0.5680 (multiplicity 4)  2 Dy 3.30-3.60, 6 Er 3.31-3.69
Er 0.2003 0.5000 0.0709 (multiplicity 4)  7 Er 3.23-3.55, 1 La 3.31